Entry 1:
YHo2Er: relaxed, PBE-GGA.

a = 4.9974 Å, b = 4.9974 Å, c = 4.9975 Å
α = 90.00°, β = 90.00°, γ = 90.00°
Fractional positions:
Y (0.0000, 0.0000, 0.0000)
Ho (0.0000, 0.5000, 0.5000)
Ho (0.5000, 0.0000, 0.5000)
Er (0.5000, 0.5000, 0.0000)

Properties
Calculated total energy (eV/cell): -20.1
Total moment (μB/f.u.): 0.0
Symmetry: P4/mmm (123)
E_form (kJ/mol of formula units): 10
Energy relative to the lowest polymorph listed for this composition (meV per atom): 22


Entry 2:
YHo6Er: relaxed, PBE-GGA.

a = 6.1018 Å, b = 6.1167 Å, c = 7.0643 Å
α = 73.06°, β = 89.86°, γ = 80.43°
Fractional positions:
Y (0.0000, 0.0000, 0.0000)
Ho (0.2498, 0.4986, 0.3758)
Ho (0.2514, 0.5000, 0.8746)
Ho (0.4997, 0.9995, 0.2509)
Ho (0.5003, 0.0005, 0.7491)
Ho (0.7486, 0.5000, 0.1254)
Ho (0.7502, 0.5014, 0.6242)
Er (0.0000, 0.0000, 0.5000)

Properties
Calculated total energy (eV/cell): -38.3
Total moment (μB/f.u.): 0.0
Symmetry: P-1 (2)
E_form (kJ/mol of formula units): 18


Entry 3:
Y19Ho6Er4: relaxed, PBE-GGA.

a = 10.7831 Å, b = 10.7831 Å, c = 10.7831 Å
α = 109.47°, β = 109.47°, γ = 109.47°
Fractional positions:
Y (0.0000, 0.0000, 0.0000)
Y (0.0000, 0.2610, 0.2610)
Y (0.0000, 0.7390, 0.7390)
Y (0.0145, 0.2167, 0.6731)
Y (0.2022, 0.9855, 0.6586)
Y (0.2167, 0.6731, 0.0145)
Y (0.2610, 0.0000, 0.2610)
Y (0.2610, 0.2610, 0.0000)
Y (0.3269, 0.5436, 0.3414)
Y (0.3414, 0.3269, 0.5436)
Y (0.4564, 0.7833, 0.7978)
Y (0.5436, 0.3414, 0.3269)
Y (0.6586, 0.2022, 0.9855)
Y (0.6731, 0.0145, 0.2167)
Y (0.7390, 0.0000, 0.7390)
Y (0.7390, 0.7390, 0.0000)
Y (0.7833, 0.7978, 0.4564)
Y (0.7978, 0.4564, 0.7833)
Y (0.9855, 0.6586, 0.2022)
Ho (0.1249, 0.5000, 0.6249)
Ho (0.3751, 0.8751, 0.5000)
Ho (0.5000, 0.3751, 0.8751)
Ho (0.5000, 0.6249, 0.1249)
Ho (0.6249, 0.1249, 0.5000)
Ho (0.8751, 0.5000, 0.3751)
Er (0.0000, 0.0000, 0.3572)
Er (0.0000, 0.3572, 0.0000)
Er (0.3572, 0.0000, 0.0000)
Er (0.6428, 0.6428, 0.6428)

Properties
Calculated total energy (eV/cell): -157.4
Total moment (μB/f.u.): 0.0
Symmetry: I23 (197)
E_form (kJ/mol of formula units): 1077


Entry 4:
Y6Ho4Er19: relaxed, PBE-GGA.

a = 10.7083 Å, b = 10.7083 Å, c = 10.7083 Å
α = 109.47°, β = 109.47°, γ = 109.47°
Fractional positions:
Y (0.1308, 0.5000, 0.6308)
Y (0.3692, 0.8692, 0.5000)
Y (0.5000, 0.3692, 0.8692)
Y (0.5000, 0.6308, 0.1308)
Y (0.6308, 0.1308, 0.5000)
Y (0.8692, 0.5000, 0.3692)
Ho (0.0000, 0.0000, 0.3578)
Ho (0.0000, 0.3578, 0.0000)
Ho (0.3578, 0.0000, 0.0000)
Ho (0.6422, 0.6422, 0.6422)
Er (0.0000, 0.0000, 0.0000)
Er (0.0000, 0.2602, 0.2602)
Er (0.0000, 0.7398, 0.7398)
Er (0.0174, 0.2113, 0.6773)
Er (0.1938, 0.9826, 0.6599)
Er (0.2113, 0.6773, 0.0174)
Er (0.2602, 0.0000, 0.2602)
Er (0.2602, 0.2602, 0.0000)
Er (0.3227, 0.5339, 0.3401)
Er (0.3401, 0.3227, 0.5339)
Er (0.4661, 0.7887, 0.8062)
Er (0.5339, 0.3401, 0.3227)
Er (0.6599, 0.1938, 0.9826)
Er (0.6773, 0.0174, 0.2113)
Er (0.7398, 0.0000, 0.7398)
Er (0.7398, 0.7398, 0.0000)
Er (0.7887, 0.8062, 0.4661)
Er (0.8062, 0.4661, 0.7887)
Er (0.9826, 0.6599, 0.1938)

Properties
Calculated total energy (eV/cell): -132.5
Total moment (μB/f.u.): 0.1
Symmetry: I23 (197)
E_form (kJ/mol of formula units): 1092


It is found that the calculated volume values, taken in the order of the records, are 31.202; 31.051; 33.282; 32.594 Å³ per atom.